# 1
Computed, not measured: a geometry-optimized BaLa2Se structure at the PBE level of DFT.

Output
* SG: Immm, No. 71
* formation energy (no corrections): -0.714 eV/atom
* total magnetic moment: 0.0 μB/cell
* volume: 35.95 Å³/atom
* E: -4.529 eV per atom

Geometry as POSCAR:
```
BaLa2Se
1.0
-4.077 -4.660 -4.103
2.108 -6.819 -2.057
-1.470 4.946 5.342
La Se Ba
2 1 1
direct
0.556 0.556 0.000
0.944 0.944 0.000
0.750 0.250 0.500
0.250 0.750 0.500
```

---

# 2
Computed, not measured: a geometry-optimized SrLaCdO2 structure at the PBE level of DFT.

Output
* SG: P4/mmm, No. 123
* formation energy (no corrections): 0.035 eV/atom
* total magnetic moment: 0.0 μB/cell
* volume: 22.95 Å³/atom
* E: -3.453 eV per atom

Geometry as POSCAR:
```
SrLaCdO2
1.0
4.596 0.000 0.000
0.000 5.433 0.000
0.000 0.000 4.596
O Cd Sr La
2 1 1 1
direct
0.500 0.000 0.000
0.000 0.000 0.500
0.000 0.000 0.000
0.000 0.500 0.000
0.500 0.500 0.500
```

---

# 3
Computed, not measured: a geometry-optimized GaHgWAu2 structure at the PBE level of DFT.

Output
* SG: P4/mmm, No. 123
* total magnetic moment: 4.3 μB/cell
* volume: 26.18 Å³/atom
* E: -2.950 eV per atom

Geometry as POSCAR:
```
GaHgWAu2
1.0
-0.040 3.851 3.494
-4.485 -1.250 1.326
1.957 -3.226 3.578
Hg Ga Au W
1 1 2 1
direct
0.000 0.000 0.000
0.000 0.500 0.000
0.000 0.000 0.500
0.500 0.000 0.000
0.500 0.500 0.500
```

---

# 4
Computed, not measured: a geometry-optimized CsIn2As2 structure at the PBE level of DFT.

Output
* energy relative to the lowest polymorph listed for this composition: 217.3 meV per atom
* SG: P4/mbm, No. 127
* total magnetic moment: 0.0 μB/cell
* volume: 34.42 Å³/atom
* E: -3.228 eV per atom

Geometry as POSCAR:
```
CsIn2As2
1.0
9.331 0.000 0.000
0.000 9.331 0.000
0.000 0.000 3.953
In As Cs
4 4 2
direct
0.359 0.141 0.500
0.141 0.641 0.500
0.641 0.859 0.500
0.859 0.359 0.500
0.905 0.595 0.000
0.405 0.905 0.000
0.595 0.095 0.000
0.095 0.405 0.000
0.000 0.000 0.000
0.500 0.500 0.000
```